Arrangement i

The following is a PBE calculation of a geometry-optimized MnCuPt3 structure, from Alexandria.

Cell lengths 4.563, 4.563, 4.563 Å; angles 90.00, 90.00, 90.00 degrees
Last column: magnetic moment on the atom in μB.
Fractional positions:
Pt (0.500, 0.000, 0.000)  -0.11
Pt (0.000, 0.500, 0.000)  -0.01
Pt (0.000, 0.000, 0.500)  0.03
Cu (0.000, 0.000, 0.000)  0.04
Mn (0.500, 0.500, 0.500)  -4.34

Volume   95.0 Å³ per cell
Size of the total moment   0.93 μB per atom

---

Arrangement ii

The following is a PBE calculation of a geometry-optimized MnCuPt3 structure, from Alexandria.

Cell lengths 5.440, 5.638, 5.638 Å; angles 104.84, 90.00, 90.00 degrees
Last column: magnetic moment on the atom in μB.
Fractional positions:
Pt (0.250, 0.701, 0.686)  0.12
Pt (0.750, 0.686, 0.701)  0.12
Pt (0.250, 0.314, 0.299)  0.12
Pt (0.250, 0.762, 0.238)  0.13
Pt (0.750, 0.299, 0.314)  0.12
Pt (0.750, 0.238, 0.762)  0.13
Cu (0.500, 0.000, 0.000)  0.07
Cu (0.000, 0.000, 0.000)  0.07
Mn (0.250, 0.254, 0.746)  4.08
Mn (0.750, 0.746, 0.254)  4.08

Volume   167.2 Å³ per cell
Size of the total moment   0.96 μB per atom

---

Which structure is the most stable? The one labeled arrangement ii.

---

Arrangement i

The following is a PBE calculation of a geometry-optimized RbMn2Cu structure, from Alexandria.

Cell lengths 4.973, 4.973, 4.973 Å; angles 60.00, 60.00, 60.00 degrees
Last column: magnetic moment on the atom in μB.
Fractional positions:
Mn (0.750, 0.750, 0.750)  4.05
Mn (0.250, 0.250, 0.250)  4.05
Cu (0.000, 0.000, 0.000)  0.10
Rb (0.500, 0.500, 0.500)  0.04

Volume   86.9 Å³ per cell
Size of the total moment   2.14 μB per atom

---

Arrangement ii

The following is a PBE calculation of a geometry-optimized RbMn2Cu structure, from Alexandria.

Cell lengths 5.415, 5.415, 9.086 Å; angles 72.66, 72.66, 90.00 degrees
Last column: magnetic moment on the atom in μB.
Fractional positions:
Rb (0.750, 0.250, 0.500)  0.00
Rb (0.000, 0.000, 0.000)  0.00
Mn (0.375, 0.625, 0.750)  3.86
Mn (0.375, 0.625, 0.250)  3.81
Mn (0.875, 0.625, 0.750)  3.87
Mn (0.375, 0.125, 0.250)  3.81
Cu (0.250, 0.750, 0.500)  0.14
Cu (0.500, 0.500, 0.000)  0.14

Volume   241.6 Å³ per cell
Size of the total moment   2.05 μB per atom

---

Which structure is the most stable? The one labeled arrangement ii.

---

Arrangement i

The following is a PBE calculation of a geometry-optimized Rb2MnCu2 structure, from Alexandria.

Cell lengths 9.692, 9.692, 3.314 Å; angles 90.00, 90.00, 90.00 degrees
Last column: magnetic moment on the atom in μB.
Fractional positions:
Cu (0.835, 0.335, 0.500)  0.03
Cu (0.665, 0.835, 0.500)  0.03
Cu (0.335, 0.165, 0.500)  0.03
Cu (0.165, 0.665, 0.500)  0.03
Mn (0.500, 0.500, 0.000)  4.34
Mn (0.000, 0.000, 0.000)  4.34
Rb (0.862, 0.638, 0.000)  0.00
Rb (0.638, 0.138, 0.000)  0.00
Rb (0.138, 0.362, 0.000)  0.00
Rb (0.362, 0.862, 0.000)  0.00

Volume   311.3 Å³ per cell
Size of the total moment   0.97 μB per atom

---

Arrangement ii

The following is a PBE calculation of a geometry-optimized Rb2MnCu2 structure, from Alexandria.

Cell lengths 3.516, 3.516, 12.142 Å; angles 81.68, 81.68, 90.00 degrees
Last column: magnetic moment on the atom in μB.
Fractional positions:
Rb (0.374, 0.374, 0.252)  -0.01
Rb (0.626, 0.626, 0.748)  -0.01
Mn (0.000, 0.000, 0.000)  4.21
Cu (0.750, 0.250, 0.500)  0.00
Cu (0.250, 0.750, 0.500)  0.00

Volume   146.9 Å³ per cell
Size of the total moment   0.87 μB per atom

---

Which structure is the most stable? The one labeled arrangement ii.

---

Arrangement i

The following is a PBE calculation of a geometry-optimized MnCuRe structure, from Alexandria.

Cell lengths 4.509, 4.509, 4.509 Å; angles 146.57, 129.71, 61.74 degrees
Last column: magnetic moment on the atom in μB.
Fractional positions:
Re (0.666, 0.666, 0.000)  -0.35
Mn (0.334, 0.334, 0.000)  1.55
Cu (0.999, 0.999, 0.000)  -0.05

Volume   38.5 Å³ per cell
Size of the total moment   0.38 μB per atom

---

Arrangement ii

The following is a PBE calculation of a geometry-optimized MnCuRe structure, from Alexandria.

Cell lengths 6.038, 6.038, 6.038 Å; angles 154.88, 154.88, 35.82 degrees
Last column: magnetic moment on the atom in μB.
Fractional positions:
Cu (0.996, 0.996, 0.000)  0.07
Re (0.668, 0.668, 0.000)  -0.12
Mn (0.336, 0.336, 0.000)  2.40

Volume   39.6 Å³ per cell
Size of the total moment   0.81 μB per atom

---

Arrangement iii

The following is a PBE calculation of a geometry-optimized MnCuRe structure, from Alexandria.

Cell lengths 2.667, 2.667, 19.089 Å; angles 90.00, 90.00, 120.00 degrees
Fractional positions:
Cu (0.333, 0.667, 0.942)
Cu (0.667, 0.333, 0.609)
Cu (0.000, 0.000, 0.276)
Re (0.667, 0.333, 0.157)
Re (0.333, 0.667, 0.490)
Re (0.000, 0.000, 0.824)
Mn (0.333, 0.667, 0.720)
Mn (0.000, 0.000, 0.054)
Mn (0.667, 0.333, 0.387)

Volume   117.6 Å³ per cell
Size of the total moment   0.00 μB per atom

---

Arrangement iv

The following is a PBE calculation of a geometry-optimized MnCuRe structure, from Alexandria.

Cell lengths 3.078, 3.078, 8.145 Å; angles 90.00, 90.00, 90.00 degrees
Last column: magnetic moment on the atom in μB.
Fractional positions:
Cu (0.000, 0.000, 0.157)  -0.04
Cu (0.500, 0.500, 0.657)  -0.04
Mn (0.000, 0.000, 0.820)  1.67
Mn (0.500, 0.500, 0.320)  1.67
Re (0.000, 0.000, 0.478)  -0.49
Re (0.500, 0.500, 0.978)  -0.49

Volume   77.2 Å³ per cell
Size of the total moment   0.37 μB per atom

---

Which structure is the most stable? The one labeled arrangement i.

---

Arrangement i

The following is a PBE calculation of a geometry-optimized MnCuRe structure, from Alexandria.

Cell lengths 4.187, 4.187, 2.564 Å; angles 90.00, 90.00, 120.00 degrees
Last column: magnetic moment on the atom in μB.
Fractional positions:
Re (0.667, 0.333, 0.218)  -0.41
Mn (0.000, 0.000, 0.555)  2.06
Cu (0.333, 0.667, 0.774)  0.00

Volume   38.9 Å³ per cell
Size of the total moment   0.56 μB per atom

---

Arrangement ii

The following is a PBE calculation of a geometry-optimized MnCuRe structure, from Alexandria.

Cell lengths 6.574, 6.409, 2.611 Å; angles 81.97, 74.86, 23.16 degrees
Last column: magnetic moment on the atom in μB.
Fractional positions:
Mn (0.333, 0.333, 0.667)  2.38
Cu (0.996, 0.996, 0.004)  0.05
Re (0.672, 0.672, 0.328)  -0.17

Volume   40.3 Å³ per cell
Size of the total moment   0.77 μB per atom

---

Arrangement iii

The following is a PBE calculation of a geometry-optimized MnCuRe structure, from Alexandria.

Cell lengths 3.968, 3.968, 3.968 Å; angles 60.00, 60.00, 60.00 degrees
Last column: magnetic moment on the atom in μB.
Fractional positions:
Cu (0.500, 0.500, 0.500)  0.08
Re (0.000, 0.000, 0.000)  -0.42
Mn (0.750, 0.750, 0.750)  1.33

Volume   44.2 Å³ per cell
Size of the total moment   0.33 μB per atom

---

Which structure is the most stable? The one labeled arrangement i.